(1)
{
  "formula": "K2SbRh",
  "functional": "PBE",
  "state": "optimized geometry",
  "lattice_angstrom": [[-5.339, -1.115, -3.740], [1.883, -4.963, 2.976], [-3.219, -0.390, 1.389]],
  "species": ["K", "K", "Sb", "Rh"],
  "frac_coords": [[0.000, 0.000, 0.000], [0.500, 0.000, 0.500], [0.500, 0.500, 0.000], [0.000, 0.500, 0.500]]
}

---

(2)
{
  "formula": "KSbRh2",
  "functional": "PBE",
  "state": "optimized geometry",
  "lattice_angstrom": [[5.451, 0.026, 0.000], [2.392, 4.898, 0.000], [-3.921, -2.462, 2.877]],
  "species": ["K", "Rh", "Rh", "Sb"],
  "frac_coords": [[0.750, 0.250, 0.500], [0.250, 0.750, 0.500], [0.000, 0.000, 0.000], [0.500, 0.500, 0.000]]
}

---

(3)
{
  "formula": "KSb3Rh",
  "functional": "PBE",
  "state": "optimized geometry",
  "de_polymorph_mev_per_atom": 0,
  "lattice_angstrom": [[5.310, 0.000, 0.000], [0.000, 5.310, 0.000], [0.000, 0.000, 5.310]],
  "species": ["Rh", "Sb", "Sb", "Sb", "K"],
  "frac_coords": [[0.000, 0.000, 0.000], [0.000, 0.000, 0.500], [0.500, 0.000, 0.000], [0.000, 0.500, 0.000], [0.500, 0.500, 0.500]]
}

---

(4)
{
  "formula": "K2SbRh",
  "functional": "PBE",
  "state": "optimized geometry",
  "lattice_angstrom": [[6.278, -0.001, 0.000], [3.365, 5.300, 0.000], [-4.822, -2.650, 3.024]],
  "species": ["Rh", "K", "K", "Sb"],
  "frac_coords": [[0.250, 0.750, 0.500], [0.500, 0.500, 0.000], [0.000, 0.000, 0.000], [0.750, 0.250, 0.500]]
}

---

(5)
{
  "formula": "K2Sb7Rh12",
  "functional": "PBE",
  "state": "optimized geometry",
  "lattice_angstrom": [[-3.392, 2.106, 0.949], [-5.256, -5.011, -7.663], [0.227, -4.032, 9.754]],
  "species": ["Rh", "Rh", "Rh", "Rh", "Rh", "Rh", "Rh", "Rh", "Rh", "Rh", "Rh", "Rh", "K", "K", "Sb", "Sb", "Sb", "Sb", "Sb", "Sb", "Sb"],
  "frac_coords": [[0.500, 0.386, 0.289], [0.000, 0.483, 0.942], [0.000, 0.058, 0.541], [0.500, 0.902, 0.614], [0.500, 0.205, 0.437], [0.000, 0.276, 0.053], [0.000, 0.777, 0.724], [0.500, 0.563, 0.768], [0.500, 0.232, 0.795], [0.000, 0.947, 0.223], [0.500, 0.711, 0.098], [0.000, 0.459, 0.517], [0.000, 0.667, 0.333], [0.500, 0.000, 0.000], [0.500, 0.928, 0.371], [0.000, 0.730, 0.947], [0.500, 0.442, 0.072], [0.000, 0.217, 0.270], [0.000, 0.053, 0.783], [0.000, 0.333, 0.667], [0.500, 0.629, 0.558]]
}

---

(6)
{
  "formula": "KSbRh2",
  "functional": "PBE",
  "state": "optimized geometry",
  "lattice_angstrom": [[6.095, 0.004, -0.010], [3.298, 5.125, 0.010], [-4.032, -3.782, 2.567]],
  "species": ["Rh", "Rh", "K", "Sb"],
  "frac_coords": [[0.744, 0.244, 0.500], [0.965, 0.965, 0.000], [0.253, 0.753, 0.500], [0.539, 0.539, 0.000]]
}

---

(7)
{
  "formula": "K2SbRh",
  "functional": "PBE",
  "state": "optimized geometry",
  "lattice_angstrom": [[4.282, 0.000, 0.000], [0.000, 4.282, 0.000], [0.000, 0.000, 5.502]],
  "species": ["K", "K", "Rh", "Sb"],
  "frac_coords": [[0.000, 0.000, 0.000], [0.500, 0.500, 0.000], [0.500, 0.000, 0.500], [0.000, 0.500, 0.500]]
}

---

(8)
{
  "formula": "KSbRh2",
  "functional": "PBE",
  "state": "optimized geometry",
  "lattice_angstrom": [[-3.243, -0.411, 2.924], [1.672, -2.108, 1.559], [3.000, 4.887, 4.014]],
  "species": ["Sb", "Rh", "Rh", "K"],
  "frac_coords": [[0.000, 0.374, 0.418], [0.000, 0.902, 0.121], [0.500, 0.384, 0.198], [0.500, 0.840, 0.764]]
}

---

(9)
{
  "formula": "KSbRh",
  "functional": "PBE",
  "state": "optimized geometry",
  "lattice_angstrom": [[-4.245, 1.262, -1.774], [-3.935, -2.345, 1.333], [-3.217, 2.137, 2.801]],
  "species": ["Sb", "K", "Rh"],
  "frac_coords": [[0.000, 0.000, 0.000], [0.500, 0.500, 0.500], [0.750, 0.750, 0.750]]
}

---

(10)
{
  "formula": "KSbRh2",
  "functional": "PBE",
  "state": "optimized geometry",
  "lattice_angstrom": [[-2.030, -1.729, -1.787], [2.360, -0.579, -2.120], [4.437, -7.304, 2.028]],
  "species": ["Rh", "Rh", "K", "Sb"],
  "frac_coords": [[0.000, 0.930, 0.070], [0.000, 0.570, 0.430], [0.500, 0.750, 0.750], [0.500, 0.250, 0.250]]
}

---

(11)
{
  "formula": "KSbRh2",
  "functional": "PBE",
  "state": "optimized geometry",
  "lattice_angstrom": [[6.583, -0.151, -0.093], [5.200, 4.040, -0.093], [5.200, 1.716, 3.658]],
  "species": ["K", "Rh", "Rh", "Sb"],
  "frac_coords": [[0.750, 0.750, 0.750], [0.949, 0.949, 0.949], [0.551, 0.551, 0.551], [0.250, 0.250, 0.250]]
}

---

(12)
{
  "formula": "K2SbRh",
  "functional": "PBE",
  "state": "optimized geometry",
  "lattice_angstrom": [[11.361, -0.033, -0.019], [10.871, 3.300, -0.019], [10.871, 1.598, 2.888]],
  "species": ["K", "K", "Sb", "Rh"],
  "frac_coords": [[0.007, 0.007, 0.007], [0.493, 0.493, 0.493], [0.250, 0.250, 0.250], [0.750, 0.750, 0.750]]
}

---

(13)
{
  "formula": "KSb2Rh3",
  "functional": "PBE",
  "state": "optimized geometry",
  "lattice_angstrom": [[-1.417, 0.448, -3.830], [-6.496, -3.337, 4.215], [2.123, 9.166, 2.488]],
  "species": ["Rh", "Rh", "Rh", "Rh", "Rh", "Rh", "Sb", "Sb", "Sb", "Sb", "K", "K"],
  "frac_coords": [[0.944, 0.524, 0.363], [0.644, 0.687, 0.602], [0.356, 0.313, 0.398], [0.766, 0.082, 0.450], [0.056, 0.476, 0.637], [0.234, 0.918, 0.550], [0.467, 0.279, 0.656], [0.533, 0.721, 0.344], [0.685, 0.157, 0.213], [0.315, 0.843, 0.787], [0.103, 0.251, 0.954], [0.897, 0.749, 0.046]]
}

---

(14)
{
  "formula": "K2SbRh",
  "functional": "PBE",
  "state": "optimized geometry",
  "lattice_angstrom": [[-0.425, 5.062, 1.372], [-2.009, -1.433, 4.648], [4.644, -1.919, -1.561]],
  "species": ["K", "K", "Sb", "Rh"],
  "frac_coords": [[0.250, 0.750, 0.500], [0.000, 0.000, 0.000], [0.750, 0.250, 0.500], [0.500, 0.500, 0.000]]
}

---

(15)
{
  "formula": "K2SbRh",
  "functional": "PBE",
  "state": "optimized geometry",
  "lattice_angstrom": [[3.572, 0.000, 0.000], [0.000, 5.369, 0.000], [0.000, 0.000, 5.587]],
  "species": ["Rh", "K", "K", "Sb"],
  "frac_coords": [[0.500, 0.500, 0.250], [0.000, 0.000, 0.495], [0.000, 0.000, 0.005], [0.500, 0.500, 0.750]]
}

---

(16)
{
  "formula": "K2SbRh",
  "functional": "PBE",
  "state": "optimized geometry",
  "lattice_angstrom": [[3.182, 0.002, 0.000], [-0.001, 3.182, 0.000], [0.000, 0.000, 10.705]],
  "species": ["K", "K", "Rh", "Sb"],
  "frac_coords": [[0.000, 0.000, 0.019], [0.000, 0.000, 0.481], [0.500, 0.500, 0.250], [0.500, 0.500, 0.750]]
}

---

(17)
{
  "formula": "K2SbRh",
  "functional": "PBE",
  "state": "optimized geometry",
  "lattice_angstrom": [[-2.608, -2.383, 2.740], [1.539, -3.784, 1.818], [2.922, 2.783, 8.910]],
  "species": ["K", "K", "Sb", "Rh"],
  "frac_coords": [[0.963, 0.963, 0.114], [0.786, 0.786, 0.636], [0.208, 0.208, 0.375], [0.542, 0.542, 0.375]]
}

---

(18)
{
  "formula": "K4SbRh",
  "functional": "PBE",
  "state": "optimized geometry",
  "lattice_angstrom": [[-1.548, -0.417, 6.304], [-5.854, -2.213, 1.771], [-0.553, -5.828, 2.834]],
  "species": ["K", "K", "K", "K", "Rh", "Sb"],
  "frac_coords": [[0.875, 0.375, 0.375], [0.375, 0.375, 0.375], [0.375, 0.875, 0.375], [0.375, 0.375, 0.875], [0.750, 0.750, 0.750], [0.000, 0.000, 0.000]]
}

---

(19)
{
  "formula": "K2SbRh",
  "functional": "PBE",
  "state": "optimized geometry",
  "lattice_angstrom": [[6.529, -0.003, 0.014], [2.546, 6.013, -0.014], [-3.893, -3.979, 3.413]],
  "species": ["Sb", "Rh", "K", "K"],
  "frac_coords": [[0.313, 0.813, 0.500], [0.437, 0.437, 0.000], [0.027, 0.027, 0.000], [0.723, 0.223, 0.500]]
}

---

(20)
{
  "formula": "K2SbRh",
  "functional": "PBE",
  "state": "optimized geometry",
  "lattice_angstrom": [[-1.210, -0.876, 4.815], [-5.794, -2.918, -1.987], [-2.471, -6.635, -1.828]],
  "species": ["Rh", "Sb", "K", "K"],
  "frac_coords": [[0.500, 0.250, 0.250], [0.500, 0.750, 0.750], [0.000, 0.133, 0.091], [0.000, 0.367, 0.409]]
}

---

We obtain formation energy (no corrections) values of 0.2293, 0.4314, 0.0340, 0.2010, -0.3851, 0.2417, 0.1996, 0.0785, 0.2020, 0.0455, -0.1384, 0.4936, -0.3676, 0.2164, 0.2265, 0.3463, -0.1963, 0.6065, -0.1233, 0.0038 eV/atom for the records listed above, in that order.